Model one:
The following is a PBE+U calculation of an optimized crystal structure of K3V2F7, from Alexandria.

Output
**Symmetry**: No. 139
**DOS(E_F)**: 0.000 states/eV per atom

The structure in POSCAR format:
```
K3V2F7
1.0
-0.372 -2.223 -3.559
3.609 -1.992 0.867
-7.152 -5.578 6.724
K V F
3 2 7
Cartesian
-3.477 -4.829 3.379
-0.438 -4.963 0.653
1.619 -2.107 -1.346
-1.081 -1.501 1.050
-2.835 -8.291 2.982
0.000 0.000 0.000
-4.653 -7.316 2.563
-2.663 -7.200 4.775
0.738 -2.476 1.470
-1.252 -2.592 -0.743
-2.152 -2.989 2.092
-1.763 -6.803 1.941
```

=====

Model two:
The following is a PBE+U calculation of an optimized crystal structure of K3V2F7, from Alexandria.

Output
**Symmetry**: No. 65
**DOS(E_F)**: 0.000 states/eV per atom

The structure in POSCAR format:
```
K3V2F7
1.0
-2.359 -3.416 -0.134
0.515 -0.191 -4.196
8.766 -6.191 3.493
K V F
3 2 7
Cartesian
-0.922 -1.803 -2.165
2.372 -4.098 -1.656
4.551 -5.700 0.819
7.544 -5.172 -0.972
1.737 -1.210 0.268
7.314 -5.096 1.130
5.836 -3.982 -1.236
0.000 0.000 0.000
1.967 -1.287 -1.834
0.541 -2.907 0.199
6.381 -6.892 -1.036
3.446 -2.401 0.533
```

=====

Of them, the most stable is model one and the least stable is model two.

=====

Model one:
The following is a PBE+U calculation of an optimized crystal structure of KWF2, from Alexandria.

Output
**Symmetry**: No. 166
**DOS(E_F)**: 0.321 states/eV per atom

The structure in POSCAR format:
```
KWF2
1.0
1.957 0.000 8.124
-0.979 1.695 8.124
-0.979 -1.695 8.124
K W F
1 1 2
Cartesian
0.000 0.000 0.000
0.000 0.000 12.187
0.000 0.000 21.860
0.000 0.000 2.513
```

=====

Model two:
The following is a PBE+U calculation of an optimized crystal structure of KWF2, from Alexandria.

Output
**Symmetry**: No. 122
**DOS(E_F)**: 0.295 states/eV per atom

The structure in POSCAR format:
```
KWF2
1.0
6.648 0.000 0.000
0.000 6.648 0.000
3.324 3.324 3.903
K W F
2 2 4
Cartesian
3.324 3.324 0.000
3.324 6.648 1.951
0.000 0.000 0.000
6.648 3.324 1.951
5.218 1.662 0.976
1.430 4.986 0.976
4.986 4.754 2.927
8.311 8.542 2.927
```

=====

Model three:
The following is a PBE+U calculation of an optimized crystal structure of KWF2, from Alexandria.

Output
**Symmetry**: No. 166
**DOS(E_F)**: 0.393 states/eV per atom

The structure in POSCAR format:
```
KWF2
1.0
1.740 0.000 7.748
-0.870 1.507 7.748
-0.870 -1.507 7.748
K W F
1 1 2
Cartesian
0.000 0.000 11.622
0.000 0.000 0.000
0.000 0.000 21.154
0.000 0.000 2.090
```

=====

Model four:
The following is a PBE+U calculation of an optimized crystal structure of KWF2, from Alexandria.

Output
**Symmetry**: No. 225
**DOS(E_F)**: 0.554 states/eV per atom

The structure in POSCAR format:
```
KWF2
1.0
-4.350 -0.017 1.558
-1.813 3.835 1.831
-3.280 2.321 -2.281
K W F
1 1 2
Cartesian
0.000 0.000 0.000
-4.721 3.070 0.554
-2.361 1.535 0.277
-7.082 4.604 0.831
```

=====

Of them, the most stable is model three and the least stable is model four.